# 1
TmTa2Si2As (GGA-PBE, relaxed); SG = P4mm (99)
1.0
3.954 0.000 0.000
0.000 3.954 0.000
0.000 0.000 7.718
Tm Ta Si As
1 2 2 1
Direct
0.000 0.000 0.000
0.000 0.500 0.644
0.500 0.000 0.644
0.000 0.000 0.387
0.500 0.500 0.885
0.500 0.500 0.373

=====

# 2
Na4Ga2IrPd (GGA-PBE, relaxed); SG = P-4m2 (115)
1.0
4.663 0.000 0.000
0.000 4.663 0.000
0.000 0.000 6.637
Na Ga Ir Pd
4 2 1 1
Direct
0.000 0.000 0.000
0.000 0.500 0.742
0.500 0.000 0.258
0.500 0.500 0.500
0.000 0.500 0.223
0.500 0.000 0.777
0.500 0.500 0.000
0.000 0.000 0.500

=====

It is found that the DFT total energy values, taken in the order of the records, are -45.28; -25.62 eV per cell.
It is found that the magnetic moment values, taken in the order of the records, are 0.00; 0.00 μB/cell.